VASP calculation (SCAN) on Ba3Te2 at its PBEsol-relaxed geometry.

Structure (POSCAR):
```
Ba3Te2
1.0
4.811 0.000 0.000
2.405 4.166 0.000
2.405 1.389 12.161
Te Ba
2 3
direct
0.610 0.610 0.170
0.390 0.390 0.830
0.000 0.000 0.000
0.223 0.223 0.332
0.777 0.777 0.668
```

Properties
* space-group type: R-3m
* raw formation energy: -147.3 kJ per mole of atoms
* crystal system: trigonal
* VASP energy: -200.8 eV for the cell shown
* spin magnetization: 0.005 μB per atom


VASP calculation (SCAN) on BaTe2 at its PBEsol-relaxed geometry.

Structure (POSCAR):
```
BaTe2
1.0
4.501 0.000 0.000
0.000 8.189 0.000
0.000 0.000 11.549
Te Ba
8 4
direct
0.750 0.362 0.659
0.250 0.138 0.159
0.750 0.862 0.841
0.250 0.638 0.341
0.750 0.396 0.046
0.250 0.104 0.546
0.750 0.896 0.454
0.250 0.604 0.954
0.750 0.815 0.147
0.250 0.685 0.647
0.750 0.315 0.353
0.250 0.185 0.853
```

Properties
* space-group type: Pnma
* raw formation energy: -129.4 kJ per mole of atoms
* crystal system: orthorhombic
* VASP energy: -472.3 eV for the cell shown
* spin magnetization: 0.000 μB per atom


VASP calculation (SCAN) on BaTlTe2 at its PBEsol-relaxed geometry.

Structure (POSCAR):
```
BaTlTe2
1.0
4.431 0.000 0.000
0.000 5.526 0.000
0.000 -1.140 5.407
Tl Te Ba
1 2 1
direct
0.500 0.000 0.000
0.000 0.500 0.000
0.000 0.000 0.500
0.500 0.500 0.500
```

Properties
* space-group type: Cmmm
* raw formation energy: -98.3 kJ per mole of atoms
* crystal system: orthorhombic
* VASP energy: -190.5 eV for the cell shown
* spin magnetization: 0.000 μB per atom


VASP calculation (SCAN) on BaTlTe2 at its PBEsol-relaxed geometry.

Structure (POSCAR):
```
BaTlTe2
1.0
-2.169 4.760 -2.246
-4.601 2.408 2.332
0.477 4.939 2.791
Ba Te Tl
1 2 1
direct
0.500 0.500 0.500
0.000 0.000 0.000
0.750 0.750 0.750
0.250 0.250 0.250
```

Properties
* space-group type: F-43m
* raw formation energy: -63.0 kJ per mole of atoms
* crystal system: cubic
* VASP energy: -189.0 eV for the cell shown
* spin magnetization: 0.000 μB per atom


VASP calculation (SCAN) on BaTlTe2 at its PBEsol-relaxed geometry.

Structure (POSCAR):
```
BaTlTe2
1.0
-0.801 -3.540 -4.465
3.225 -4.736 -0.532
-2.349 -5.188 0.826
Tl Te Ba
1 2 1
direct
0.500 0.500 0.500
0.250 0.250 0.250
0.750 0.750 0.750
0.000 0.000 0.000
```

Properties
* space-group type: Fm-3m
* raw formation energy: -87.6 kJ per mole of atoms
* crystal system: cubic
* VASP energy: -190.0 eV for the cell shown
* spin magnetization: 0.000 μB per atom


VASP calculation (SCAN) on Ba2TlTe at its PBEsol-relaxed geometry.

Structure (POSCAR):
```
Ba2TlTe
1.0
4.954 0.000 0.000
0.000 4.954 0.000
0.000 0.000 6.970
Ba Te Tl
2 1 1
direct
0.000 0.000 0.500
0.500 0.500 0.000
0.000 0.000 0.000
0.500 0.500 0.500
```

Properties
* space-group type: P4/mmm
* raw formation energy: -101.5 kJ per mole of atoms
* crystal system: tetragonal
* VASP energy: -192.9 eV for the cell shown
* spin magnetization: 0.001 μB per atom


VASP calculation (SCAN) on BaTl2Te2 at its PBEsol-relaxed geometry.

Structure (POSCAR):
```
BaTl2Te2
1.0
5.987 0.000 0.000
-2.994 5.795 0.024
0.000 3.072 5.139
Tl Te Ba
2 2 1
direct
0.649 0.298 0.351
0.351 0.702 0.649
0.750 0.500 0.750
0.250 0.500 0.250
0.000 0.000 0.000
```

Properties
* space-group type: I4/mmm
* raw formation energy: -69.6 kJ per mole of atoms
* crystal system: tetragonal
* VASP energy: -262.4 eV for the cell shown
* spin magnetization: 0.000 μB per atom


VASP calculation (SCAN) on BaTlTe3 at its PBEsol-relaxed geometry.

Structure (POSCAR):
```
BaTlTe3
1.0
6.327 0.000 0.000
0.000 6.327 0.000
0.000 0.000 6.327
Tl Te Ba
1 3 1
direct
0.500 0.500 0.500
0.000 0.500 0.000
0.000 0.000 0.500
0.500 0.000 0.000
0.000 0.000 0.000
```

Properties
* space-group type: Pm-3m
* raw formation energy: 0.6 kJ per mole of atoms
* crystal system: cubic
* VASP energy: -223.6 eV for the cell shown
* spin magnetization: 0.604 μB per atom


VASP calculation (SCAN) on BaTlTe2 at its PBEsol-relaxed geometry.

Structure (POSCAR):
```
BaTlTe2
1.0
5.587 0.009 0.014
-2.170 5.149 -0.014
-2.170 -2.273 4.620
Tl Te Ba
1 2 1
direct
0.000 0.500 0.500
0.500 0.750 0.250
0.500 0.250 0.750
0.000 0.000 0.000
```

Properties
* space-group type: I4/mmm
* raw formation energy: -98.4 kJ per mole of atoms
* crystal system: tetragonal
* VASP energy: -190.5 eV for the cell shown
* spin magnetization: 0.000 μB per atom


VASP calculation (SCAN) on BaUTe6 at its PBEsol-relaxed geometry.

Structure (POSCAR):
```
BaUTe6
1.0
-4.118 5.605 -3.759
-3.540 -6.367 -4.990
-11.146 -1.555 9.891
Ba U Te
4 4 24
direct
0.230 0.759 0.909
0.270 0.241 0.409
0.770 0.241 0.091
0.730 0.759 0.591
0.378 0.730 0.249
0.122 0.270 0.749
0.622 0.270 0.751
0.878 0.730 0.251
0.136 0.000 0.238
0.364 0.000 0.738
0.864 0.000 0.762
0.636 0.000 0.262
0.387 0.978 0.098
0.113 0.022 0.598
0.613 0.022 0.902
0.887 0.978 0.402
0.381 0.833 0.450
0.119 0.167 0.950
0.619 0.167 0.550
0.881 0.833 0.050
0.123 0.610 0.394
0.377 0.390 0.894
0.877 0.390 0.606
0.623 0.610 0.106
0.117 0.584 0.115
0.383 0.416 0.615
0.883 0.416 0.885
0.617 0.584 0.385
0.368 0.389 0.195
0.132 0.611 0.695
0.632 0.611 0.805
0.868 0.389 0.305
```

Properties
* space-group type: P2_1/c
* raw formation energy: -76.5 kJ per mole of atoms
* crystal system: monoclinic
* VASP energy: -1491.7 eV for the cell shown
* spin magnetization: 0.250 μB per atom


VASP calculation (SCAN) on BaU2Te5 at its PBEsol-relaxed geometry.

Structure (POSCAR):
```
BaU2Te5
1.0
-4.041 -6.603 2.447
8.810 0.727 3.044
-5.431 4.718 3.763
Ba U Te
2 4 10
direct
0.250 0.500 0.250
0.750 0.500 0.750
0.353 0.000 0.147
0.647 0.000 0.853
0.853 0.000 0.353
0.147 0.000 0.647
0.986 0.272 0.787
0.287 0.272 0.486
0.486 0.272 0.986
0.787 0.272 0.287
0.014 0.728 0.213
0.713 0.728 0.514
0.514 0.728 0.014
0.213 0.728 0.713
0.000 0.000 0.000
0.500 0.000 0.500
```

Properties
* space-group type: I4/mcm
* raw formation energy: -90.5 kJ per mole of atoms
* crystal system: tetragonal
* VASP energy: -880.7 eV for the cell shown
* spin magnetization: 0.500 μB per atom


VASP calculation (SCAN) on BaTeW at its PBEsol-relaxed geometry.

Structure (POSCAR):
```
BaTeW
1.0
-3.389 0.317 3.074
2.815 -3.620 0.055
2.975 2.360 3.036
Ba Te W
1 1 1
direct
0.000 0.000 0.500
0.333 0.667 0.000
0.667 0.333 0.000
```

Properties
* space-group type: P-6m2
* raw formation energy: 53.8 kJ per mole of atoms
* crystal system: hexagonal
* polymorph energy (0 for the lowest one): 0 meV per atom
* VASP energy: -144.8 eV for the cell shown
* spin magnetization: 0.000 μB per atom


VASP calculation (SCAN) on Ba2TeW at its PBEsol-relaxed geometry.

Structure (POSCAR):
```
Ba2TeW
1.0
5.531 0.000 0.000
2.766 4.790 0.000
2.766 1.597 4.516
Ba Te W
2 1 1
direct
0.000 0.000 0.000
0.750 0.750 0.750
0.500 0.500 0.500
0.250 0.250 0.250
```

Properties
* space-group type: F-43m
* raw formation energy: 67.9 kJ per mole of atoms
* crystal system: cubic
* VASP energy: -183.2 eV for the cell shown
* spin magnetization: 0.924 μB per atom


VASP calculation (SCAN) on BaTeW at its PBEsol-relaxed geometry.

Structure (POSCAR):
```
BaTeW
1.0
-4.760 0.632 1.459
-1.615 -2.090 4.267
-1.045 2.887 3.970
Ba Te W
1 1 1
direct
0.500 0.500 0.500
0.750 0.750 0.750
0.000 0.000 0.000
```

Properties
* space-group type: F-43m
* raw formation energy: 125.2 kJ per mole of atoms
* crystal system: cubic
* polymorph energy (0 for the lowest one): 740 meV per atom
* VASP energy: -142.6 eV for the cell shown
* spin magnetization: 0.000 μB per atom


VASP calculation (SCAN) on BaTe4W at its PBEsol-relaxed geometry.

Structure (POSCAR):
```
BaTe4W
1.0
6.361 0.000 0.000
3.180 5.509 0.000
3.180 1.836 5.194
Ba Te W
1 4 1
direct
0.000 0.000 0.000
0.376 0.376 0.376
0.376 0.376 0.871
0.871 0.376 0.376
0.376 0.871 0.376
0.750 0.750 0.750
```

Properties
* space-group type: F-43m
* raw formation energy: 65.6 kJ per mole of atoms
* crystal system: cubic
* VASP energy: -254.2 eV for the cell shown
* spin magnetization: 0.892 μB per atom


VASP calculation (SCAN) on Ba3TeW at its PBEsol-relaxed geometry.

Structure (POSCAR):
```
Ba3TeW
1.0
5.762 0.000 0.000
0.000 5.762 0.000
0.000 0.000 5.762
Te Ba W
1 3 1
direct
0.500 0.500 0.500
0.000 0.500 0.000
0.000 0.000 0.500
0.500 0.000 0.000
0.000 0.000 0.000
```

Properties
* space-group type: Pm-3m
* raw formation energy: 25.1 kJ per mole of atoms
* crystal system: cubic
* VASP energy: -224.3 eV for the cell shown
* spin magnetization: 0.000 μB per atom


VASP calculation (SCAN) on BaY2Te2 at its PBEsol-relaxed geometry.

Structure (POSCAR):
```
BaY2Te2
1.0
-2.134 -1.810 -3.633
1.399 -4.181 1.262
-5.974 2.129 5.343
Y Te Ba
2 2 1
direct
0.250 0.750 0.500
0.750 0.250 0.500
0.385 0.385 0.770
0.615 0.615 0.230
0.000 0.000 0.000
```

Properties
* space-group type: I4/mmm
* raw formation energy: -112.9 kJ per mole of atoms
* crystal system: tetragonal
* VASP energy: -175.6 eV for the cell shown
* spin magnetization: 0.359 μB per atom


VASP calculation (SCAN) on BaYTe2 at its PBEsol-relaxed geometry.

Structure (POSCAR):
```
BaYTe2
1.0
4.501 0.000 0.000
2.251 3.898 0.000
2.251 1.299 7.715
Y Te Ba
1 2 1
direct
0.000 0.000 0.000
0.739 0.739 0.784
0.261 0.261 0.216
0.500 0.500 0.500
```

Properties
* space-group type: R-3m
* raw formation energy: -165.1 kJ per mole of atoms
* crystal system: trigonal
* polymorph energy (0 for the lowest one): 0 meV per atom
* VASP energy: -148.7 eV for the cell shown
* spin magnetization: 0.000 μB per atom


VASP calculation (SCAN) on BaYTe2 at its PBEsol-relaxed geometry.

Structure (POSCAR):
```
BaYTe2
1.0
-2.914 0.792 2.769
1.862 -2.637 2.714
4.849 6.897 0.099
Ba Te Y
1 2 1
direct
0.796 0.296 0.591
0.972 0.972 0.944
0.187 0.687 0.374
0.546 0.546 0.091
```

Properties
* space-group type: Imm2
* raw formation energy: -148.7 kJ per mole of atoms
* crystal system: orthorhombic
* polymorph energy (0 for the lowest one): 170 meV per atom
* VASP energy: -148.1 eV for the cell shown
* spin magnetization: 0.198 μB per atom


VASP calculation (SCAN) on BaYTe2 at its PBEsol-relaxed geometry.

Structure (POSCAR):
```
BaYTe2
1.0
-2.838 2.770 2.835
0.339 -0.330 4.852
5.794 7.603 2.561
Y Te Ba
1 2 1
direct
0.000 0.000 0.000
0.099 0.099 0.703
0.901 0.901 0.297
0.500 0.500 0.500
```

Properties
* space-group type: R-3m
* raw formation energy: -98.3 kJ per mole of atoms
* crystal system: trigonal
* polymorph energy (0 for the lowest one): 692 meV per atom
* VASP energy: -146.0 eV for the cell shown
* spin magnetization: 0.095 μB per atom